(1)
The following is a PBE calculation of PrPu2PdN4 after structural relaxation, from Alexandria via LeMat-Bulk.

Structure (POSCAR):
```
PrPu2PdN4
1.0
1.771 -5.687 0.000
1.771 5.687 0.000
0.000 0.000 11.863
Pr Pu Pd N
2 4 2 8
Cartesian
1.771 4.579 8.897
1.771 -4.579 2.966
1.771 1.475 6.606
1.771 1.475 11.188
1.771 -1.475 0.674
1.771 -1.475 5.257
1.771 3.706 2.966
1.771 -3.706 8.897
0.000 0.000 0.000
0.000 0.000 5.931
1.771 2.700 1.112
1.771 2.700 4.819
1.771 0.545 8.897
1.771 -0.545 2.966
1.771 -2.700 7.043
1.771 -2.700 10.750
```

Values from the calculation:
**Size of the total moment**: 13.98 μB per cell
**Crystal system**: orthorhombic
**Space group**: Cmcm

(2)
The following is a PBE calculation of PrTh2PdN4 after structural relaxation, from Alexandria via LeMat-Bulk.

Structure (POSCAR):
```
PrTh2PdN4
1.0
1.790 -6.045 0.000
1.790 6.045 0.000
0.000 0.000 12.191
Pr Th Pd N
2 4 2 8
Cartesian
1.790 4.673 9.143
1.790 -4.673 3.048
1.790 1.566 6.789
1.790 1.566 11.498
1.790 -1.566 0.693
1.790 -1.566 5.402
1.790 4.261 3.048
1.790 -4.261 9.143
0.000 0.000 0.000
0.000 0.000 6.096
1.790 2.766 1.363
1.790 2.766 4.733
1.790 0.470 9.143
1.790 -0.470 3.048
1.790 -2.766 7.459
1.790 -2.766 10.828
```

Values from the calculation:
**Size of the total moment**: 0.00 μB per cell
**Crystal system**: orthorhombic
**Space group**: Cmcm

We obtain V values of 239.0 263.8 Å³ per cell for the records listed above, in that order.
We obtain mass density values of 11.0 9.7 g cm⁻³ for the records listed above, in that order.
We obtain ΔE_f (raw) values of -86.6 -104.6 kJ per mole of atoms for the records listed above, in that order.